# 1
V3Mo5 GGA-PBE relaxed; ΔE_f = -13 kJ/mol of atoms; magnetization = 0.0 μB/cell; calculated volume = 14.877 Å³ per atom; energy above the lowest structure with this stoichiometry = 0.023 eV/f.u.
1.0
3.101 0.000 0.000
0.000 3.101 0.000
0.000 0.000 12.373
V Mo
3 5
Direct
0.500 0.500 0.877 V
0.000 0.000 0.500 V
0.500 0.500 0.123 V
0.500 0.500 0.625 Mo
0.000 0.000 0.000 Mo
0.000 0.000 0.752 Mo
0.500 0.500 0.375 Mo
0.000 0.000 0.248 Mo

=====

# 2
Li2SiCl GGA-PBE relaxed; magnetization = 0.0 μB/cell; calculated volume = 16.215 Å³ per atom; energy relative to the elements, uncorrected = -0.64 eV/atom; energy above the lowest structure with this stoichiometry = 0.097 eV/f.u.
1.0
2.963 0.002 0.000
-0.029 2.963 0.000
0.000 0.000 7.387
Cl Li Si
1 2 1
Direct
0.500 0.500 0.750 Cl
0.000 0.000 0.961 Li
0.000 0.000 0.539 Li
0.500 0.500 0.250 Si

=====

# 3
DyHo5Er6 GGA-PBE relaxed; ΔE_f = 2 kJ/mol of atoms; magnetization = 0.0 μB/cell; calculated volume = 30.489 Å³ per atom
1.0
5.985 0.000 1.062
2.993 5.258 0.531
-0.014 0.000 11.623
Dy Ho Er
1 5 6
Direct
0.000 0.000 0.000 Dy
0.833 0.333 0.500 Ho
0.667 0.667 0.000 Ho
0.333 0.333 0.000 Ho
0.500 0.000 0.500 Ho
0.167 0.667 0.500 Ho
0.083 0.333 0.750 Er
0.584 0.333 0.250 Er
0.917 0.667 0.250 Er
0.750 0.000 0.750 Er
0.250 0.000 0.250 Er
0.416 0.667 0.750 Er